# 1
## BaCaC2O6 (SCAN)

Data for BaCaC2O6 at its PBEsol-relaxed geometry.

Geometry as POSCAR:
```
BaCaC2O6
1.0
-2.493 0.889 -5.484
-1.798 -8.472 -0.556
-5.779 5.441 3.508
O Ca Ba C
18 3 3 6
direct
0.819 0.346 0.822
0.360 0.324 0.513
0.640 0.676 0.189
0.181 0.524 0.178
0.640 0.513 0.324
0.741 0.004 0.151
0.181 0.822 0.346
0.819 0.476 0.654
0.741 0.849 0.853
0.259 0.853 0.849
0.360 0.487 0.811
0.819 0.178 0.524
0.259 0.996 0.147
0.181 0.654 0.476
0.259 0.151 0.004
0.360 0.189 0.676
0.741 0.147 0.996
0.640 0.811 0.487
0.500 0.361 0.000
0.500 0.000 0.361
0.500 0.639 0.639
0.000 0.688 0.000
0.000 0.312 0.312
0.000 0.000 0.688
0.816 0.333 0.667
0.735 0.000 0.000
0.356 0.333 0.667
0.265 0.000 0.000
0.644 0.667 0.333
0.184 0.667 0.333
```

Results
Fermi-level density of states ... 0.000 states/eV/atom
Raw formation energy ... -2.44 eV per atom
Size of the total moment ... 0.0 μB/f.u.
DFT total energy ... -13.1248 eV per atom
Distance to the lowest polymorph of the same formula ... 6 meV per atom
ρ ... 3.7 g/cm³



# 2
## CaZr3Cd (SCAN)

Data for CaZr3Cd at its PBEsol-relaxed geometry.

Geometry as POSCAR:
```
CaZr3Cd
1.0
-2.760 2.517 -3.732
-4.499 -1.393 2.387
0.153 4.428 2.873
Zr Cd Ca
3 1 1
direct
0.000 0.000 0.500
0.500 0.000 0.000
0.000 0.500 0.000
0.000 0.000 0.000
0.500 0.500 0.500
```

Results
Fermi-level density of states ... 1.012 states/eV/atom
Size of the total moment ... 2.0 μB/f.u.
DFT total energy ... -25.5908 eV per atom
Distance to the lowest polymorph of the same formula ... 0 meV per atom
ρ ... 4.8 g/cm³



# 3
## Li2TlMo (SCAN)

Data for Li2TlMo at its PBEsol-relaxed geometry.

Geometry as POSCAR:
```
Li2TlMo
1.0
4.606 0.000 0.000
2.303 3.989 0.000
2.303 1.330 3.761
Mo Tl Li
1 1 2
direct
0.500 0.500 0.500
0.250 0.250 0.250
0.000 0.000 0.000
0.750 0.750 0.750
```

Results
Fermi-level density of states ... 0.229 states/eV/atom
Size of the total moment ... 2.9 μB/f.u.
DFT total energy ... -27.6677 eV per atom
Distance to the lowest polymorph of the same formula ... 0 meV per atom
ρ ... 7.6 g/cm³



# 4
## Be2NbRu2 (SCAN)

Data for Be2NbRu2 at its PBEsol-relaxed geometry.

Geometry as POSCAR:
```
Be2NbRu2
1.0
-2.050 1.902 -0.782
0.266 -2.180 -5.999
-4.517 -4.307 1.365
Nb Be Ru
2 4 4
direct
0.000 0.000 0.000
0.000 0.500 0.500
0.000 0.881 0.619
0.000 0.119 0.381
0.000 0.381 0.881
0.000 0.619 0.119
0.500 0.830 0.330
0.500 0.330 0.170
0.500 0.670 0.830
0.500 0.170 0.670
```

Results
Fermi-level density of states ... 0.274 states/eV/atom
Size of the total moment ... 0.0 μB/f.u.
DFT total energy ... -22.7578 eV per atom
ρ ... 8.8 g/cm³



# 5
## CrB3Ru (SCAN)

Data for CrB3Ru at its PBEsol-relaxed geometry.

Geometry as POSCAR:
```
CrB3Ru
1.0
-1.045 0.292 3.816
3.760 -0.658 1.080
0.712 3.901 -0.103
B Ru Cr
3 1 1
direct
0.000 0.000 0.500
0.500 0.000 0.000
0.000 0.500 0.000
0.000 0.000 0.000
0.500 0.500 0.500
```

Results
Fermi-level density of states ... 0.320 states/eV/atom
Size of the total moment ... 4.5 μB/f.u.
DFT total energy ... -14.1928 eV per atom
ρ ... 4.9 g/cm³



# 6
## Zr3Se4 (SCAN)

Data for Zr3Se4 at its PBEsol-relaxed geometry.

Geometry as POSCAR:
```
Zr3Se4
1.0
3.560 0.000 0.000
0.000 3.560 0.000
-1.780 -1.780 10.873
Se Zr
4 3
direct
0.567 0.567 0.135
0.163 0.163 0.327
0.837 0.837 0.673
0.433 0.433 0.865
0.000 0.000 0.000
0.702 0.702 0.404
0.298 0.298 0.596
```

Results
Fermi-level density of states ... 0.268 states/eV/atom
Raw formation energy ... -1.36 eV per atom
Size of the total moment ... 0.0 μB/f.u.
DFT total energy ... -25.9857 eV per atom
Distance to the lowest polymorph of the same formula ... 90 meV per atom
ρ ... 7.1 g/cm³



# 7
## LaY2Ni (SCAN)

Data for LaY2Ni at its PBEsol-relaxed geometry.

Geometry as POSCAR:
```
LaY2Ni
1.0
3.419 0.000 0.000
0.000 3.419 0.000
0.000 0.000 8.724
Y La Ni
2 1 1
direct
0.000 0.000 0.319
0.000 0.000 0.681
0.500 0.500 0.000
0.500 0.500 0.500
```

Results
Fermi-level density of states ... 1.041 states/eV/atom
Size of the total moment ... 0.0 μB/f.u.
DFT total energy ... -28.9112 eV per atom
Distance to the lowest polymorph of the same formula ... 0 meV per atom
ρ ... 6.1 g/cm³



# 8
## Na2VP2O8 (SCAN)

Data for Na2VP2O8 at its PBEsol-relaxed geometry.

Geometry as POSCAR:
```
Na2VP2O8
1.0
-1.790 4.244 4.260
1.037 -6.077 4.617
12.810 3.573 1.825
O P Na V
32 8 8 4
direct
0.085 0.231 0.910
0.853 0.365 0.061
0.473 0.282 0.965
0.527 0.718 0.035
0.683 0.217 0.407
0.803 0.464 0.861
0.697 0.536 0.361
0.247 0.025 0.476
0.747 0.025 0.024
0.303 0.464 0.639
0.469 0.289 0.265
0.185 0.107 0.671
0.315 0.893 0.171
0.147 0.635 0.939
0.317 0.783 0.593
0.585 0.231 0.590
0.197 0.536 0.139
0.031 0.711 0.765
0.817 0.783 0.907
0.027 0.718 0.465
0.531 0.711 0.735
0.973 0.282 0.535
0.647 0.635 0.561
0.815 0.893 0.329
0.415 0.769 0.410
0.685 0.107 0.829
0.969 0.289 0.235
0.753 0.975 0.524
0.183 0.217 0.093
0.253 0.975 0.976
0.353 0.365 0.439
0.915 0.769 0.090
0.748 0.171 0.518
0.039 0.361 0.134
0.248 0.171 0.982
0.539 0.361 0.366
0.252 0.829 0.482
0.461 0.639 0.634
0.752 0.829 0.018
0.961 0.639 0.866
0.342 0.933 0.788
0.658 0.067 0.212
0.439 0.527 0.868
0.842 0.933 0.712
0.561 0.473 0.132
0.061 0.473 0.368
0.158 0.067 0.288
0.939 0.527 0.632
0.732 0.772 0.425
0.268 0.228 0.575
0.768 0.228 0.925
0.232 0.772 0.075
```

Results
Fermi-level density of states ... 0.000 states/eV/atom
Raw formation energy ... -2.54 eV per atom
Size of the total moment ... 1.0 μB/f.u.
DFT total energy ... -9.9672 eV per atom
Distance to the lowest polymorph of the same formula ... 0 meV per atom
ρ ... 3.0 g/cm³



> Which of these has the highest ρ?

Be2NbRu2



> What is the ρ in the fourth record?

8.8 g/cm³